# 1
Tm2Rh2O7 | PBE-GGA | optimized geometry

Unit cell a=5.1775 b=4.9841 c=5.0844 alpha=98.41 beta=98.64 gamma=99.99
Last column: nearest neighbours and their distance in Å.
Positions (direct):
O  0.4750  0.2251  0.5034  1 Rh 1.99, 2 Tm 2.14-2.19
O  0.5250  0.7749  0.4966  1 Rh 1.99, 2 Tm 2.14-2.19
O  0.9828  0.7374  0.4316  2 Rh 2.11, 1 Tm 2.32
Tm  0.7611  0.5762  0.7604  5 O 2.14-2.32
Rh  0.7323  0.9856  0.2666  6 O 1.99-2.15
Rh  0.2677  0.0144  0.7334  6 O 1.99-2.15
O  0.0172  0.2626  0.5684  2 Rh 2.11, 1 Tm 2.32
O  0.4306  0.7315  0.9591  2 Rh 2.12-2.15, 1 Tm 2.30
O  0.5694  0.2685  0.0409  2 Rh 2.12-2.15, 1 Tm 2.30
Tm  0.2389  0.4238  0.2396  5 O 2.14-2.32
O  0.0000  0.0000  0.0000  2 Rh 2.08, 2 Tm 2.32

Formation energy without anion corrections (eV/f.u.): -19.27
Relative energy among the computed polymorphs (eV per atom): 0.344
Symmetry: No. 2
Uncorrected energy (Ry/atom): -0.5187

# 2
Tb5TePb4 | PBE-GGA | optimized geometry

Unit cell a=3.9825 b=6.3072 c=12.8415 alpha=104.22 beta=98.92 gamma=90.00
Last column: nearest neighbours and their distance in Å.
Positions (direct):
Pb  0.4008  0.4008  0.8017  6 Tb 3.15-3.17
Tb  0.4029  0.9029  0.8058  2 Te 3.11, 4 Pb 3.15-3.19
Tb  0.0000  0.5000  0.0000  4 Pb 3.15, 2 Te 3.15
Pb  0.8013  0.8013  0.6026  6 Tb 3.15-3.19
Pb  0.5992  0.5992  0.1983  6 Tb 3.15-3.17
Tb  0.1997  0.6997  0.3995  6 Pb 3.15-3.19
Te  0.0000  0.0000  0.0000  6 Tb 3.11-3.15
Tb  0.8003  0.3003  0.6005  6 Pb 3.15-3.19
Tb  0.5971  0.0971  0.1942  2 Te 3.11, 4 Pb 3.15-3.19
Pb  0.1987  0.1987  0.3974  6 Tb 3.15-3.19

Formation energy without anion corrections (eV/f.u.): -6.04
Relative energy among the computed polymorphs (eV per atom): 0.005
Symmetry: No. 71
Uncorrected energy (Ry/atom): -0.3467

# 3
Ho5GeAs4 | PBE-GGA | optimized geometry

Unit cell a=5.8017 b=7.1083 c=7.1083 alpha=80.41 beta=65.91 gamma=65.91
Last column: nearest neighbours and their distance in Å.
Positions (direct):
As  0.2006  0.2008  0.4001  6 Ho 2.88-2.91
Ho  0.5011  0.0000  0.0000  2 Ge 2.90, 4 As 2.91
As  0.6006  0.5999  0.2008  6 Ho 2.88-2.91
Ho  0.8996  0.4035  0.7993  5 As 2.88-2.91, 1 Ge 2.92
Ho  0.6989  0.2007  0.4035  5 As 2.88-2.91, 1 Ge 2.92
As  0.8015  0.7992  0.5999  6 Ho 2.88-2.91
As  0.4014  0.4001  0.7992  6 Ho 2.88-2.91
Ho  0.3031  0.7993  0.5965  5 As 2.88-2.91, 1 Ge 2.92
Ho  0.1024  0.5965  0.2007  5 As 2.88-2.91, 1 Ge 2.92
Ge  0.0012  0.0000  0.0000  6 Ho 2.90-2.92

E_form (meV per atom): -1342
Symmetry: No. 87
Uncorrected energy (Ry/atom): -0.4375

# 4
Ta6VFe5 | PBE-GGA | optimized geometry

Unit cell a=4.3437 b=6.1465 c=6.8779 alpha=90.00 beta=71.59 gamma=90.00
Last column: nearest neighbours and their distance in Å.
Positions (direct):
Ta  0.8328  0.2510  0.3343  7 Fe 2.64-2.66, 1 V 2.67
Ta  0.5000  0.7481  0.0000  6 Fe 2.65-2.69, 2 V 2.67
Ta  0.8329  0.7490  0.3343  7 Fe 2.64-2.66, 1 V 2.67
Ta  0.1672  0.7490  0.6657  7 Fe 2.64-2.66, 1 V 2.67
V  0.0000  0.0000  0.0000  8 Ta 2.67
Ta  0.1671  0.2510  0.6657  7 Fe 2.64-2.66, 1 V 2.67
Fe  0.6684  0.0000  0.6631  8 Ta 2.64-2.69
Fe  0.0000  0.5000  0.0000  8 Ta 2.65-2.66
Fe  0.3316  0.0000  0.3369  8 Ta 2.64-2.69
Fe  0.3325  0.5000  0.3349  8 Ta 2.65-2.67
Fe  0.6675  0.5000  0.6651  8 Ta 2.65-2.67
Ta  0.5000  0.2519  0.0000  6 Fe 2.65-2.69, 2 V 2.67

E_form (meV per atom): -135
Symmetry: No. 65
Uncorrected energy (Ry/atom): -0.7605

- uncorrected energy of number 3 (Ho5GeAs4)?
  -0.4375 Ry/atom